Entry 1:
## Pm3Sm2Hg8 (PBE-GGA)

Data for a relaxed Pm3Sm2Hg8 crystal.

## Properties
D(E_F), states/eV/cell: 9.1
Calculated total energy, eV/atom: -2.35

Cell: 8.378 8.378 5.360 Å, 102.22 102.22 79.77°
Sites, in units of the cell vectors:
Pm 0.000 0.000 0.000
Pm 0.241 0.759 0.500
Pm 0.759 0.241 0.500
Sm 0.296 0.296 0.145
Sm 0.704 0.704 0.855
Hg 0.086 0.598 0.862
Hg 0.157 0.157 0.568
Hg 0.402 0.914 0.138
Hg 0.431 0.431 0.724
Hg 0.569 0.569 0.276
Hg 0.598 0.086 0.862
Hg 0.843 0.843 0.432
Hg 0.914 0.402 0.138

---

Entry 2:
## PmSm5Hg6 (PBE-GGA)

Data for a relaxed PmSm5Hg6 crystal.

## Properties
D(E_F), states/eV/cell: 15.1
Calculated total energy, eV/atom: -2.99

Cell: 5.354 7.644 8.452 Å, 90.00 108.20 90.00°
Sites, in units of the cell vectors:
Pm 0.000 0.000 0.000
Sm 0.000 0.500 0.000
Sm 0.333 0.000 0.667
Sm 0.333 0.500 0.667
Sm 0.667 0.000 0.333
Sm 0.667 0.500 0.333
Hg 0.168 0.251 0.334
Hg 0.168 0.749 0.334
Hg 0.500 0.251 0.000
Hg 0.500 0.749 0.000
Hg 0.832 0.251 0.666
Hg 0.832 0.749 0.666

---

Entry 3:
## PmSm2Hg6 (PBE-GGA)

Data for a relaxed PmSm2Hg6 crystal.

## Properties
D(E_F), states/eV/cell: 6.4
Excess energy over the best structure of this formula in the dataset, meV per atom: 0.0

Cell: 8.705 8.705 3.468 Å, 90.00 90.00 120.00°
Sites, in units of the cell vectors:
Pm 0.000 0.000 0.000
Sm 0.333 0.667 0.000
Sm 0.667 0.333 0.000
Hg 0.000 0.334 0.500
Hg 0.000 0.666 0.500
Hg 0.334 0.000 0.500
Hg 0.334 0.334 0.500
Hg 0.666 0.000 0.500
Hg 0.666 0.666 0.500

---

The lowest D(E_F) belongs to which entry? PmSm2Hg6

---

What did the first record say?
## Pm3Sm2Hg8 (PBE-GGA)

Data for a relaxed Pm3Sm2Hg8 crystal.

## Properties
D(E_F), states/eV/cell: 9.1
Calculated total energy, eV/atom: -2.35

Cell: 8.378 8.378 5.360 Å, 102.22 102.22 79.77°
Sites, in units of the cell vectors:
Pm 0.000 0.000 0.000
Pm 0.241 0.759 0.500
Pm 0.759 0.241 0.500
Sm 0.296 0.296 0.145
Sm 0.704 0.704 0.855
Hg 0.086 0.598 0.862
Hg 0.157 0.157 0.568
Hg 0.402 0.914 0.138
Hg 0.431 0.431 0.724
Hg 0.569 0.569 0.276
Hg 0.598 0.086 0.862
Hg 0.843 0.843 0.432
Hg 0.914 0.402 0.138

---

Which of these has the lowest D(E_F)? PmSm2Hg6

---

Please write out number 3 again, unchanged.
## PmSm2Hg6 (PBE-GGA)

Data for a relaxed PmSm2Hg6 crystal.

## Properties
D(E_F), states/eV/cell: 6.4
Excess energy over the best structure of this formula in the dataset, meV per atom: 0.0

Cell: 8.705 8.705 3.468 Å, 90.00 90.00 120.00°
Sites, in units of the cell vectors:
Pm 0.000 0.000 0.000
Sm 0.333 0.667 0.000
Sm 0.667 0.333 0.000
Hg 0.000 0.334 0.500
Hg 0.000 0.666 0.500
Hg 0.334 0.000 0.500
Hg 0.334 0.334 0.500
Hg 0.666 0.000 0.500
Hg 0.666 0.666 0.500